ScVFeAu2: relaxed, PBE.

The space group is P4/mmm (No. 123) and the conventional cell measures 4.9394, 4.9394 and 3.9939 Å, with angles of 90.00, 90.00 and 90.00 degrees. The asymmetric unit holds Sc at (0.0000, 0.0000, 0.0000), V at (0.5000, 0.5000, 0.5000), Fe at (0.5000, 0.5000, 0.0000) and Au at (0.0000, 0.5000, 0.5000).

The formation energy is 2.42 eV per formula unit. For the uncorrected energy, the calculation gives -5.610 eV/atom. The value obtained for the density of states at the Fermi level is 6.7 states/eV/cell. The calculation puts the total magnetic moment at 0.005 μB per atom.